Record 1
Here is an optimized crystal structure of AlCuSiPd from the Open Quantum Materials Database. Energies are from PBE.

Summary:
Energy above the most stable polymorph in this dataset   113.0 meV/atom
Calculated total energy   -74.19 eV per cell

Structure (CIF):
```
data_AlCuSiPd
_chemical_formula_sum 'Al4 Cu4 Si4 Pd4'
_cell_length_a 6.108
_cell_length_b 6.108
_cell_length_c 6.108
_cell_angle_alpha 90.00
_cell_angle_beta 90.00
_cell_angle_gamma 90.00
_symmetry_space_group_name_H-M 'F -4 3 m'
_symmetry_Int_Tables_number 216
_symmetry_space_group_name_Hall 'F -4 2 3'
loop_
_atom_site_label
_atom_site_type_symbol
_atom_site_fract_x
_atom_site_fract_y
_atom_site_fract_z
Al1 Al 0.000 0.000 0.000
Cu1 Cu 0.000 0.000 0.500
Si1 Si 0.250 0.250 0.250
Pd1 Pd 0.250 0.250 0.750
```

Record 2
Here is an optimized crystal structure of SmAl2CuPd2 from the Open Quantum Materials Database. Energies are from PBE.

Summary:
Calculated total energy   -61.38 eV per cell

Structure (CIF):
```
data_SmAl2CuPd2
_chemical_formula_sum 'Sm2 Al4 Cu2 Pd4'
_cell_length_a 5.346
_cell_length_b 9.193
_cell_length_c 4.303
_cell_angle_alpha 90.00
_cell_angle_beta 90.00
_cell_angle_gamma 90.00
_symmetry_space_group_name_H-M 'C m m m'
_symmetry_Int_Tables_number 65
_symmetry_space_group_name_Hall '-C 2 2'
loop_
_atom_site_label
_atom_site_type_symbol
_atom_site_fract_x
_atom_site_fract_y
_atom_site_fract_z
Sm1 Sm 0.000 0.000 0.000
Al1 Al 0.250 0.250 0.500
Cu1 Cu 0.000 0.500 0.500
Pd1 Pd 0.000 0.330 0.000
```

Record 3
Here is an optimized crystal structure of SmAl2CuPd from the Open Quantum Materials Database. Energies are from PBE.

Summary:
Calculated total energy   -48.58 eV per cell

Structure (CIF):
```
data_SmAl2CuPd
_chemical_formula_sum 'Sm2 Al4 Cu2 Pd2'
_cell_length_a 4.187
_cell_length_b 4.187
_cell_length_c 10.420
_cell_angle_alpha 90.00
_cell_angle_beta 90.00
_cell_angle_gamma 90.00
_symmetry_space_group_name_H-M 'P 4/n m m'
_symmetry_Int_Tables_number 129
loop_
_symmetry_equiv_pos_as_xyz
'x,y,z'
'-x,-y,-z'
'-y+1/2,x,z'
'y+1/2,-x,-z'
'-x+1/2,-y+1/2,z'
'x+1/2,y+1/2,-z'
'y,-x+1/2,z'
'-y,x+1/2,-z'
'x+1/2,-y,-z'
'-x+1/2,y,z'
'-y,-x,-z'
'y,x,z'
'-x,y+1/2,-z'
'x,-y+1/2,z'
'y+1/2,x+1/2,-z'
'-y+1/2,-x+1/2,z'
loop_
_atom_site_label
_atom_site_type_symbol
_atom_site_fract_x
_atom_site_fract_y
_atom_site_fract_z
Sm1 Sm 0.250 0.250 0.244
Al1 Al 0.250 0.250 0.635
Al2 Al 0.250 0.750 0.000
Cu1 Cu 0.250 0.250 0.869
Pd1 Pd 0.250 0.750 0.500
```

Record 4
Here is an optimized crystal structure of SmAlCu2Pd2 from the Open Quantum Materials Database. Energies are from PBE.

Summary:
Calculated total energy   -59.74 eV per cell

Structure (CIF):
```
data_SmAlCu2Pd2
_chemical_formula_sum 'Sm2 Al2 Cu4 Pd4'
_cell_length_a 5.334
_cell_length_b 8.954
_cell_length_c 4.285
_cell_angle_alpha 90.00
_cell_angle_beta 90.00
_cell_angle_gamma 90.00
_symmetry_space_group_name_H-M 'C m m m'
_symmetry_Int_Tables_number 65
_symmetry_space_group_name_Hall '-C 2 2'
loop_
_atom_site_label
_atom_site_type_symbol
_atom_site_fract_x
_atom_site_fract_y
_atom_site_fract_z
Sm1 Sm 0.000 0.000 0.000
Al1 Al 0.000 0.500 0.500
Cu1 Cu 0.250 0.250 0.500
Pd1 Pd 0.000 0.337 0.000
```

Record 5
Here is an optimized crystal structure of AlCuSnPd from the Open Quantum Materials Database. Energies are from PBE.

Summary:
Energy above the most stable polymorph in this dataset   0.0 meV/atom
Calculated total energy   -69.57 eV per cell

Structure (CIF):
```
data_AlCuSnPd
_chemical_formula_sum 'Al4 Cu4 Sn4 Pd4'
_cell_length_a 6.433
_cell_length_b 6.433
_cell_length_c 6.433
_cell_angle_alpha 90.00
_cell_angle_beta 90.00
_cell_angle_gamma 90.00
_symmetry_space_group_name_H-M 'F -4 3 m'
_symmetry_Int_Tables_number 216
_symmetry_space_group_name_Hall 'F -4 2 3'
loop_
_atom_site_label
_atom_site_type_symbol
_atom_site_fract_x
_atom_site_fract_y
_atom_site_fract_z
Al1 Al 0.000 0.000 0.000
Cu1 Cu 0.250 0.250 0.750
Sn1 Sn 0.000 0.000 0.500
Pd1 Pd 0.250 0.250 0.250
```

Record 6
Here is an optimized crystal structure of Tb2Al2Cu3Pd from the Open Quantum Materials Database. Energies are from PBE.

Summary:
Calculated total energy   -37.12 eV per cell

Structure (CIF):
```
data_Tb2Al2Cu3Pd
_chemical_formula_sum 'Tb2 Al2 Cu3 Pd1'
_cell_length_a 4.3497
_cell_length_b 4.3497
_cell_length_c 8.8155
_cell_angle_alpha 90.00
_cell_angle_beta 90.00
_cell_angle_gamma 120.00
_symmetry_space_group_name_H-M 'P 3 m 1'
_symmetry_Int_Tables_number 156
_symmetry_space_group_name_Hall 'P 3 -2"'
loop_
_atom_site_label
_atom_site_type_symbol
_atom_site_fract_x
_atom_site_fract_y
_atom_site_fract_z
Tb1 Tb 0.0000 0.0000 0.0000
Tb2 Tb 0.3333 0.6667 0.4944
Al1 Al 0.6667 0.3333 0.2499
Al2 Al 0.6667 0.3333 0.7472
Cu1 Cu 0.0000 0.0000 0.3251
Cu2 Cu 0.0000 0.0000 0.6693
Cu3 Cu 0.3333 0.6667 0.1727
Pd1 Pd 0.3333 0.6667 0.8228
```